Computed, not measured: a relaxed V2Pd4Pt5 crystal at the PBE level of DFT.

Calculated values
energy of formation	-0.10	eV per atom

```
data_V2Pd4Pt5
_chemical_formula_sum 'V4 Pd8 Pt10'
_symmetry_space_group_name_H-M 'I m m m'
_symmetry_Int_Tables_number 71
_symmetry_space_group_name_Hall '-I 2 2'
_cell_length_a 4.380
_cell_length_b 7.732
_cell_length_c 10.430
_cell_angle_alpha 90.00
_cell_angle_beta 90.00
_cell_angle_gamma 90.00
loop_
_atom_site_label
_atom_site_fract_x
_atom_site_fract_y
_atom_site_fract_z
V1 0.000 0.000 0.139
Pd1 0.000 0.000 0.374
Pd2 0.000 0.291 0.000
Pt1 0.000 0.336 0.261
Pt2 0.000 0.500 0.500
```